Entry 1:
VASP calculation (PBE) on a relaxed TbPrCoPt crystal.

```
TbPrCoPt
1.0
0.000 3.511 3.511
3.511 0.000 3.511
3.511 3.511 0.000
Tb Pr Co Pt
1 1 1 1
direct
0.000 0.000 0.000
0.500 0.500 0.500
0.250 0.250 0.250
0.750 0.750 0.750
```

=====

Entry 2:
VASP calculation (PBE) on a relaxed PrYCoPt crystal.

```
PrYCoPt
1.0
0.000 3.511 3.511
3.511 0.000 3.511
3.511 3.511 0.000
Pr Y Co Pt
1 1 1 1
direct
0.000 0.000 0.000
0.500 0.500 0.500
0.250 0.250 0.250
0.750 0.750 0.750
```

=====

Entry 3:
VASP calculation (PBE) on a relaxed PrPuCo10 crystal.

```
PrPuCo10
1.0
3.979 0.000 0.000
0.000 4.914 0.000
0.000 0.000 8.621
Pr Pu Co
1 1 10
direct
0.000 0.000 0.000
0.000 0.500 0.500
0.000 0.000 0.341
0.000 0.000 0.659
0.000 0.500 0.191
0.000 0.500 0.809
0.500 0.000 0.500
0.500 0.250 0.252
0.500 0.250 0.748
0.500 0.500 0.000
0.500 0.750 0.252
0.500 0.750 0.748
```

=====

Entry 4:
VASP calculation (PBE) on a relaxed PrPu2Co9 crystal.

```
PrPu2Co9
1.0
2.482 1.433 8.149
-2.482 1.433 8.149
0.000 -2.866 8.149
Pr Pu Co
1 2 9
direct
0.000 0.000 0.000
0.140 0.140 0.140
0.860 0.860 0.860
0.082 0.583 0.583
0.334 0.334 0.334
0.417 0.417 0.918
0.417 0.918 0.417
0.500 0.500 0.500
0.583 0.082 0.583
0.583 0.583 0.082
0.666 0.666 0.666
0.918 0.417 0.417
```

=====

Entry 5:
VASP calculation (PBE) on a relaxed Pr3Pu2Co4 crystal.

```
Pr3Pu2Co4
1.0
5.625 -2.013 0.000
5.625 2.013 0.000
-1.927 0.000 8.610
Pr Pu Co
3 2 4
direct
0.000 0.000 0.000
0.378 0.378 0.614
0.622 0.622 0.386
0.320 0.320 0.215
0.680 0.680 0.785
0.085 0.085 0.638
0.282 0.282 0.914
0.718 0.718 0.086
0.915 0.915 0.362
```

=====

Entry 6:
PrPu2Co (PBE, relaxed); excess energy over the best structure of this formula in the dataset = 0 meV per atom
1.0
3.432 0.000 0.000
0.000 3.432 0.000
0.000 0.000 8.329
Pr Pu Co
1 2 1
direct
0.000 0.000 0.000
0.500 0.500 0.317
0.500 0.500 0.683
0.000 0.000 0.500

=====

Entry 7:
PrPuCo (PBE, relaxed); excess energy over the best structure of this formula in the dataset = 108 meV per atom
1.0
4.243 0.000 0.000
-2.121 3.674 0.000
0.000 0.000 4.678
Pr Pu Co
1 1 1
direct
0.000 0.000 0.000
0.667 0.333 0.500
0.333 0.667 0.500

=====

Entry 8:
PrPu2Co (PBE, relaxed); excess energy over the best structure of this formula in the dataset = 148 meV per atom
1.0
1.785 1.031 9.818
-1.785 1.031 9.818
0.000 -2.062 9.818
Pr Pu Co
1 2 1
direct
0.000 0.000 0.000
0.111 0.111 0.111
0.889 0.889 0.889
0.500 0.500 0.500

=====

Entry 9:
VASP calculation (PBE) on a relaxed PrPu3Co crystal.

```
PrPu3Co
1.0
5.219 0.000 0.000
0.000 5.219 0.000
0.000 0.000 5.219
Pr Pu Co
1 3 1
direct
0.000 0.000 0.000
0.000 0.500 0.500
0.500 0.000 0.500
0.500 0.500 0.000
0.500 0.500 0.500
```

=====

Entry 10:
PrPuCo (PBE, relaxed); excess energy over the best structure of this formula in the dataset = 0 meV per atom
1.0
3.173 -7.092 0.000
3.173 7.092 0.000
0.000 0.000 6.326
Pr Pu Co
4 4 4
direct
0.192 0.808 0.998
0.308 0.692 0.498
0.692 0.308 0.502
0.808 0.192 0.002
0.249 0.251 0.750
0.251 0.249 0.250
0.749 0.751 0.750
0.751 0.749 0.250
0.108 0.892 0.501
0.392 0.608 0.001
0.608 0.392 0.999
0.892 0.108 0.499

=====

Entry 11:
PrPuCo (PBE, relaxed); excess energy over the best structure of this formula in the dataset = 51 meV per atom
1.0
-1.750 1.750 5.690
1.750 -1.750 5.690
1.750 1.750 -5.690
Pr Pu Co
1 1 1
direct
0.000 0.000 0.000
0.280 0.280 0.000
0.691 0.691 0.000

=====

Entry 12:
VASP calculation (PBE) on a relaxed PrPuCo2 crystal.

```
PrPuCo2
1.0
3.357 0.000 0.000
0.000 3.357 0.000
0.000 0.000 6.943
Pr Pu Co
1 1 2
direct
0.000 0.000 0.000
0.000 0.000 0.500
0.500 0.500 0.298
0.500 0.500 0.702
```

=====

Asked for raw total energy across the records above, the calculation gives -6.16 -6.62 -7.46 -8.22 -8.00 -10.00 -8.58 -9.85 -10.72 -8.69 -8.64 -8.25 eV/atom in order.
Asked for energy of formation across the records above, the calculation gives -200 -200 63 -121 -60 54 47 111 125 15 30 31 kJ/mol of formula units in order.